A relaxed Al3CuSn crystal, computed with PBE.

Unit cell a=4.6665 b=4.6665 c=4.6665 alpha=90.00 beta=90.00 gamma=90.00
Fractional positions:
Al  0.0000  0.0000  0.5000
Al  0.0000  0.5000  0.0000
Al  0.5000  0.0000  0.0000
Cu  0.0000  0.0000  0.0000
Sn  0.5000  0.5000  0.5000

Calculated values
ΔE_f in eV/atom: 0.23
Polymorph energy (0 for the lowest one) in meV per atom: 0
Symmetry: No. 221

=====

A relaxed AlCuSn crystal, computed with PBE.

Unit cell a=4.2300 b=4.2300 c=3.7450 alpha=90.00 beta=90.00 gamma=120.00
Fractional positions:
Al  0.0000  0.0000  0.0000
Cu  0.6667  0.3333  0.9038
Sn  0.3333  0.6667  0.5025

Calculated values
ΔE_f in eV/atom: 0.12
Symmetry: No. 156

=====

A relaxed AlCuSn crystal, computed with PBE.

Unit cell a=4.0149 b=4.9663 c=6.1335 alpha=104.48 beta=108.99 gamma=90.07
Fractional positions:
Al  0.0729  0.2813  0.1457
Al  0.9271  0.7187  0.8543
Cu  0.2767  0.6537  0.5531
Cu  0.7233  0.3463  0.4469
Sn  0.3714  0.1988  0.7421
Sn  0.6286  0.8012  0.2579

Calculated values
ΔE_f in eV/atom: 0.03
Symmetry: No. 2

=====

A relaxed AlCuSn crystal, computed with PBE.

Unit cell a=4.1894 b=4.1894 c=7.5664 alpha=90.00 beta=90.00 gamma=120.00
Fractional positions:
Al  0.0000  0.0000  0.0000
Al  0.3333  0.6667  0.2303
Cu  0.0000  0.0000  0.3303
Cu  0.6667  0.3333  0.1362
Sn  0.3333  0.6667  0.7961
Sn  0.6667  0.3333  0.5143

Calculated values
ΔE_f in eV/atom: 0.00
Symmetry: No. 156

=====

A relaxed AlCu4Sn2 crystal, computed with PBE.

Unit cell a=7.4165 b=7.4165 c=7.4165 alpha=144.25 beta=144.25 gamma=51.45
Fractional positions:
Al  0.0000  0.0000  0.0000
Cu  0.0000  0.5000  0.5000
Cu  0.1765  0.1765  0.0000
Cu  0.5000  0.0000  0.5000
Cu  0.8235  0.8235  0.0000
Sn  0.3680  0.3680  0.0000
Sn  0.6320  0.6320  0.0000

Calculated values
ΔE_f in eV/atom: 0.41
Symmetry: No. 139

=====

A relaxed AlCuSn3 crystal, computed with PBE.

Unit cell a=5.0962 b=5.0962 c=5.0962 alpha=90.00 beta=90.00 gamma=90.00
Fractional positions:
Al  0.0000  0.0000  0.0000
Cu  0.5000  0.5000  0.5000
Sn  0.0000  0.5000  0.5000
Sn  0.5000  0.0000  0.5000
Sn  0.5000  0.5000  0.0000

Calculated values
ΔE_f in eV/atom: 0.40
Polymorph energy (0 for the lowest one) in meV per atom: 0
Symmetry: No. 221

=====

A relaxed AlCuSn crystal, computed with PBE.

Unit cell a=4.0605 b=4.0605 c=7.2408 alpha=105.75 beta=105.75 gamma=89.82
Fractional positions:
Al  0.0000  0.5000  0.0000
Al  0.5000  0.0000  0.0000
Cu  0.1184  0.1184  0.2369
Cu  0.8816  0.8816  0.7631
Sn  0.3261  0.3261  0.6534
Sn  0.6739  0.6739  0.3466

Calculated values
ΔE_f in eV/atom: 0.01
Symmetry: No. 12

=====

A relaxed AlCu3Sn crystal, computed with PBE.

Unit cell a=4.8651 b=4.8651 c=4.8651 alpha=90.00 beta=90.00 gamma=90.00
Fractional positions:
Al  0.0000  0.0000  0.0000
Cu  0.0000  0.5000  0.5000
Cu  0.5000  0.0000  0.5000
Cu  0.5000  0.5000  0.0000
Sn  0.5000  0.5000  0.5000

Calculated values
ΔE_f in eV/atom: 0.77
Polymorph energy (0 for the lowest one) in meV per atom: 280
Symmetry: No. 221

=====

A relaxed AlCuSn crystal, computed with PBE.

Unit cell a=7.6675 b=4.1743 c=7.2049 alpha=90.00 beta=90.00 gamma=90.00
Fractional positions:
Al  0.0180  0.2500  0.2382
Al  0.4820  0.7500  0.7382
Al  0.5180  0.2500  0.2618
Al  0.9820  0.7500  0.7618
Cu  0.0757  0.2500  0.5798
Cu  0.4243  0.7500  0.0798
Cu  0.5757  0.2500  0.9202
Cu  0.9243  0.7500  0.4202
Sn  0.2181  0.2500  0.9214
Sn  0.2819  0.7500  0.4214
Sn  0.7181  0.2500  0.5786
Sn  0.7819  0.7500  0.0786

Calculated values
ΔE_f in eV/atom: 0.02
Symmetry: No. 62

=====

A relaxed AlCuSn crystal, computed with PBE.

Unit cell a=4.2204 b=4.2233 c=8.1461 alpha=89.82 beta=89.95 gamma=60.03
Fractional positions:
Al  0.1671  0.1684  0.3906
Al  0.8329  0.8316  0.6094
Cu  0.1663  0.1645  0.6958
Cu  0.8337  0.8355  0.3042
Sn  0.4998  0.4976  0.8216
Sn  0.5002  0.5024  0.1784

Calculated values
ΔE_f in eV/atom: -0.04
Symmetry: No. 2

=====

A relaxed AlCu3Sn crystal, computed with PBE.

Unit cell a=4.5706 b=4.5706 c=4.5706 alpha=90.00 beta=90.00 gamma=90.00
Fractional positions:
Al  0.0000  0.0000  0.0000
Cu  0.0000  0.0000  0.5000
Cu  0.0000  0.5000  0.0000
Cu  0.5000  0.0000  0.0000
Sn  0.5000  0.5000  0.5000

Calculated values
ΔE_f in eV/atom: 0.49
Polymorph energy (0 for the lowest one) in meV per atom: 0
Symmetry: No. 221

=====

A relaxed AlCuSn crystal, computed with PBE.

Unit cell a=6.1373 b=2.9642 c=6.3384 alpha=90.00 beta=93.54 gamma=90.00
Fractional positions:
Al  0.0000  0.0000  0.0000
Al  0.1452  0.0000  0.4283
Cu  0.8261  0.5000  0.2822
Cu  0.9573  0.5000  0.6817
Sn  0.4725  0.0000  0.1024
Sn  0.5774  0.0000  0.6272

Calculated values
ΔE_f in eV/atom: 0.01
Symmetry: No. 6

=====

A relaxed AlCuSn crystal, computed with PBE.

Unit cell a=3.1751 b=6.1788 c=6.5325 alpha=112.78 beta=90.60 gamma=100.60
Fractional positions:
Al  0.0541  0.1523  0.2525
Al  0.9459  0.8477  0.7475
Cu  0.4219  0.8067  0.0341
Cu  0.5781  0.1933  0.9659
Sn  0.1414  0.3541  0.7100
Sn  0.8586  0.6459  0.2900

Calculated values
ΔE_f in eV/atom: 0.01
Symmetry: No. 2

=====

A relaxed AlCuSn crystal, computed with PBE.

Unit cell a=6.3831 b=5.4479 c=6.3925 alpha=90.00 beta=90.00 gamma=90.00
Fractional positions:
Al  0.0000  0.0000  0.0000
Al  0.0000  0.5000  0.0000
Al  0.5000  0.0000  0.5000
Al  0.5000  0.5000  0.5000
Cu  0.1970  0.2500  0.3011
Cu  0.3030  0.7500  0.8011
Cu  0.6970  0.2500  0.1989
Cu  0.8030  0.7500  0.6989
Sn  0.1038  0.7500  0.3992
Sn  0.3962  0.2500  0.8992
Sn  0.6038  0.7500  0.1008
Sn  0.8962  0.2500  0.6008

Calculated values
ΔE_f in eV/atom: 0.04
Symmetry: No. 62

=====

A relaxed AlCu4Sn crystal, computed with PBE.

Unit cell a=4.9767 b=4.9767 c=4.9767 alpha=60.00 beta=60.00 gamma=60.00
Fractional positions:
Al  0.0000  0.0000  0.0000
Cu  0.3743  0.3743  0.3743
Cu  0.3743  0.3743  0.8770
Cu  0.3743  0.8770  0.3743
Cu  0.8770  0.3743  0.3743
Sn  0.7500  0.7500  0.7500

Calculated values
ΔE_f in eV/atom: -0.01
Symmetry: No. 216

=====

A relaxed AlCuSn crystal, computed with PBE.

Unit cell a=3.0753 b=4.4006 c=9.0764 alpha=92.97 beta=90.36 gamma=110.12
Fractional positions:
Al  0.0852  0.1693  0.1642
Al  0.9148  0.8307  0.8358
Cu  0.3619  0.7212  0.0573
Cu  0.6381  0.2788  0.9427
Sn  0.3779  0.7376  0.3674
Sn  0.6221  0.2624  0.6326

Calculated values
ΔE_f in eV/atom: -0.02
Symmetry: No. 2

=====

A relaxed AlCuSn crystal, computed with PBE.

Unit cell a=6.7617 b=6.7617 c=3.2720 alpha=102.99 beta=102.99 gamma=49.02
Fractional positions:
Al  0.0000  0.0000  0.0000
Al  0.7465  0.7465  0.7610
Cu  0.1157  0.6310  0.3806
Cu  0.6310  0.1157  0.3806
Sn  0.2141  0.2141  0.7209
Sn  0.5324  0.5324  0.0367

Calculated values
ΔE_f in eV/atom: 0.01
Symmetry: No. 8

=====

A relaxed AlCu2Sn crystal, computed with PBE.

Unit cell a=3.1759 b=3.1759 c=6.5383 alpha=90.00 beta=90.00 gamma=90.00
Fractional positions:
Al  0.0000  0.0000  0.0000
Cu  0.5000  0.5000  0.1996
Cu  0.5000  0.5000  0.8004
Sn  0.0000  0.0000  0.5000

Calculated values
ΔE_f in eV/atom: 0.05
Polymorph energy (0 for the lowest one) in meV per atom: 0
Symmetry: No. 123

=====

A relaxed SrAl2CuSn crystal, computed with PBE.

Unit cell a=5.2465 b=5.2465 c=6.3240 alpha=90.00 beta=90.00 gamma=90.00
Fractional positions:
Sr  0.0000  0.0000  0.0000
Al  0.0000  0.5000  0.5000
Al  0.5000  0.0000  0.5000
Cu  0.5000  0.5000  0.0000
Sn  0.0000  0.0000  0.5000

Calculated values
ΔE_f in eV/atom: 0.71
Symmetry: No. 123

=====

A relaxed Sr2AlCuSn crystal, computed with PBE.

Unit cell a=5.8585 b=5.8585 c=4.7918 alpha=90.00 beta=90.00 gamma=90.00
Fractional positions:
Sr  0.0000  0.5000  0.0000
Sr  0.5000  0.0000  0.0000
Al  0.0000  0.0000  0.5000
Cu  0.5000  0.5000  0.0000
Sn  0.5000  0.5000  0.5000

Calculated values
ΔE_f in eV/atom: -0.02
Symmetry: No. 123

=====

A relaxed Al2CuSnTe4 crystal, computed with PBE.

Unit cell a=7.5095 b=6.8125 c=6.8430 alpha=66.72 beta=56.44 gamma=56.83
Fractional positions:
Al  0.0000  0.0000  0.5000
Al  0.5000  0.5000  0.0000
Cu  0.2339  0.2339  0.7661
Sn  0.7777  0.7777  0.2223
Te  0.1280  0.5610  0.4390
Te  0.3272  0.8487  0.6728
Te  0.5610  0.1280  0.8720
Te  0.8487  0.3272  0.1513

Calculated values
Uncorrected formation energy in eV/atom: -0.1666
Symmetry: No. 42

=====

A relaxed TiAlCu2Sn crystal, computed with PBE.

Unit cell a=4.3933 b=4.3933 c=5.2262 alpha=90.00 beta=90.00 gamma=90.00
Fractional positions:
Ti  0.0000  0.0000  0.0000
Al  0.5000  0.5000  0.5000
Cu  0.0000  0.5000  0.5000
Cu  0.5000  0.0000  0.5000
Sn  0.5000  0.5000  0.0000

Calculated values
ΔE_f in eV/atom: 0.69
Symmetry: No. 123

=====

A relaxed SrAl2Cu3 crystal, computed with PBE.

Unit cell a=6.5076 b=6.5076 c=5.3143 alpha=90.00 beta=90.00 gamma=77.21
Fractional positions:
Sr  0.1788  0.8212  0.7500
Sr  0.8212  0.1788  0.2500
Al  0.2949  0.2949  0.0000
Al  0.2949  0.2949  0.5000
Al  0.7051  0.7051  0.0000
Al  0.7051  0.7051  0.5000
Cu  0.0352  0.5782  0.2500
Cu  0.4218  0.9648  0.2500
Cu  0.4258  0.5742  0.2500
Cu  0.5742  0.4258  0.7500
Cu  0.5782  0.0352  0.7500
Cu  0.9648  0.4218  0.7500

Calculated values
ΔE_f in eV/atom: -0.26
Symmetry: No. 63

=====

A relaxed Sr2AlCu crystal, computed with PBE.

Unit cell a=6.0086 b=6.0086 c=6.0086 alpha=133.40 beta=133.40 gamma=68.03
Fractional positions:
Sr  0.0000  0.0000  0.0000
Sr  0.7500  0.2500  0.5000
Al  0.5000  0.5000  0.0000
Cu  0.2500  0.7500  0.5000

Calculated values
ΔE_f in eV/atom: 0.18
Symmetry: No. 119

=====

A relaxed SrAlCu2 crystal, computed with PBE.

Unit cell a=3.1260 b=3.4392 c=7.0597 alpha=90.00 beta=90.13 gamma=90.00
Fractional positions:
Sr  0.0000  0.0000  0.0000
Al  0.0000  0.0000  0.5000
Cu  0.4996  0.5000  0.3211
Cu  0.5004  0.5000  0.6789

Calculated values
ΔE_f in eV/atom: 0.04
Symmetry: No. 10

=====

A relaxed SrAlCu crystal, computed with PBE.

Unit cell a=4.3138 b=5.6951 c=6.5012 alpha=102.34 beta=109.27 gamma=90.03
Fractional positions:
Sr  0.1110  0.3214  0.2233
Sr  0.8890  0.6786  0.7767
Al  0.3940  0.1738  0.7886
Al  0.6060  0.8262  0.2114
Cu  0.2073  0.8832  0.4146
Cu  0.7927  0.1168  0.5854

Calculated values
ΔE_f in eV/atom: -0.20
Symmetry: No. 2